Entry from OQMD: a relaxed structure of InRe3S5 (GGA-PBE).

POSCAR file:
```
InRe3S5
1.0
5.625 0.000 0.000
-2.813 4.871 0.000
0.000 0.000 6.914
In Re S
1 3 5
Cartesian
0.000 0.000 0.000 In
2.813 0.000 3.457 Re
-1.406 2.436 3.457 Re
1.406 2.436 3.457 Re
2.813 1.624 1.696 S
0.000 3.248 1.696 S
0.000 0.000 3.457 S
2.813 1.624 5.218 S
0.000 3.248 5.218 S
```

Computed properties:
energy = -59.67 eV/f.u.
space group = P6/mmm (191)